1.
MnFe3Sn: optimized geometry, GGA-PBE.

The space group is Pm-3m (No. 221) and the conventional cell measures 4.188, 4.188 and 4.188 Å, with angles of 90.00, 90.00 and 90.00 degrees. The inequivalent atoms are Mn at (0.000, 0.000, 0.000), Fe at (0.000, 0.000, 0.500) and Sn at (0.500, 0.500, 0.500).

The value obtained for the energy above the most stable polymorph in this dataset is 0.0 kJ/mol of atoms. The calculated volume comes out at 73.4 Å³/cell. The value obtained for the energy is -33.25 eV/cell. As for the formation energy: 1.062 eV per atom. Its density is 7.7 g cm⁻³.


2.
MnFe2Sn2: optimized geometry, GGA-PBE.

The space group is P4/mbm (No. 127) and the conventional cell measures 7.282, 7.282 and 3.105 Å, with angles of 90.00, 90.00 and 90.00 degrees. The inequivalent atoms are Mn at (0.000, 0.000, 0.000), Fe at (0.139, 0.361, 0.500) and Sn at (0.157, 0.657, 0.000).

The value obtained for the energy above the most stable polymorph in this dataset is 6.5 kJ/mol of atoms. The calculated volume comes out at 164.7 Å³/cell. The value obtained for the energy is -64.91 eV/cell. As for the formation energy: 0.329 eV per atom. Its density is 8.1 g cm⁻³.